No. 1
Density functional theory data (PBE) for Si2PdRuC after structural relaxation.

Results
The value obtained for the energy relative to the elements, uncorrected is 0.680 eV per atom. The value obtained for the electronic total energy is -6.23 eV per atom. For the density of states at the Fermi level, the calculation gives 0.7861 states/eV/atom.

Geometry as CIF:
```
data_Si2PdRuC
_cell_length_a 3.943
_cell_length_b 3.943
_cell_length_c 4.099
_cell_angle_alpha 90.00
_cell_angle_beta 90.00
_cell_angle_gamma 90.00
_symmetry_space_group_name_H-M 'P 4/m m m'
_symmetry_Int_Tables_number 123
_symmetry_space_group_name_Hall '-P 4 2'
loop_
_atom_site_label
_atom_site_type_symbol
_atom_site_fract_x
_atom_site_fract_y
_atom_site_fract_z
Si1 Si 0.000 0.500 0.000
Pd1 Pd 0.000 0.000 0.500
Ru1 Ru 0.500 0.500 0.500
C1 C 0.000 0.000 0.000
```



No. 2
Density functional theory data (PBE) for SnPdRu2C after structural relaxation.

Results
The value obtained for the electronic total energy is -6.95 eV per atom. For the density of states at the Fermi level, the calculation gives 1.1128 states/eV/atom.

Geometry as CIF:
```
data_SnPdRu2C
_cell_length_a 4.003
_cell_length_b 4.003
_cell_length_c 4.699
_cell_angle_alpha 90.00
_cell_angle_beta 90.00
_cell_angle_gamma 90.00
_symmetry_space_group_name_H-M 'P 4/m m m'
_symmetry_Int_Tables_number 123
_symmetry_space_group_name_Hall '-P 4 2'
loop_
_atom_site_label
_atom_site_type_symbol
_atom_site_fract_x
_atom_site_fract_y
_atom_site_fract_z
Sn1 Sn 0.000 0.000 0.000
Pd1 Pd 0.500 0.500 0.000
Ru1 Ru 0.000 0.500 0.500
C1 C 0.000 0.000 0.500
```



No. 3
Density functional theory data (PBE) for Sr2PdRuC after structural relaxation.

Results
The value obtained for the electronic total energy is -5.38 eV per atom. For the relative energy among the computed polymorphs, the calculation gives 0.000 eV/atom. For the density of states at the Fermi level, the calculation gives 0.7930 states/eV/atom.

Geometry as CIF:
```
data_Sr2PdRuC
_cell_length_a 5.426
_cell_length_b 5.426
_cell_length_c 3.879
_cell_angle_alpha 90.00
_cell_angle_beta 90.00
_cell_angle_gamma 90.00
_symmetry_space_group_name_H-M 'P 4/m m m'
_symmetry_Int_Tables_number 123
_symmetry_space_group_name_Hall '-P 4 2'
loop_
_atom_site_label
_atom_site_type_symbol
_atom_site_fract_x
_atom_site_fract_y
_atom_site_fract_z
Sr1 Sr 0.000 0.500 0.000
Pd1 Pd 0.000 0.000 0.500
Ru1 Ru 0.500 0.500 0.500
C1 C 0.500 0.500 0.000
```



No. 4
Density functional theory data (PBE) for Sr2PdRuC after structural relaxation.

Results
The value obtained for the electronic total energy is -4.03 eV per atom. For the relative energy among the computed polymorphs, the calculation gives 1.349 eV/atom. For the density of states at the Fermi level, the calculation gives 0.8166 states/eV/atom.

Geometry as CIF:
```
data_Sr2PdRuC
_cell_length_a 5.744
_cell_length_b 5.744
_cell_length_c 4.660
_cell_angle_alpha 90.00
_cell_angle_beta 90.00
_cell_angle_gamma 90.00
_symmetry_space_group_name_H-M 'P 4/m m m'
_symmetry_Int_Tables_number 123
_symmetry_space_group_name_Hall '-P 4 2'
loop_
_atom_site_label
_atom_site_type_symbol
_atom_site_fract_x
_atom_site_fract_y
_atom_site_fract_z
Sr1 Sr 0.000 0.500 0.000
Pd1 Pd 0.000 0.000 0.500
Ru1 Ru 0.000 0.000 0.000
C1 C 0.500 0.500 0.500
```



No. 5
Density functional theory data (PBE) for SrPdRu2C after structural relaxation.

Results
The value obtained for the electronic total energy is -5.43 eV per atom. For the density of states at the Fermi level, the calculation gives 0.9798 states/eV/atom.

Geometry as CIF:
```
data_SrPdRu2C
_cell_length_a 5.150
_cell_length_b 5.150
_cell_length_c 3.861
_cell_angle_alpha 90.00
_cell_angle_beta 90.00
_cell_angle_gamma 90.00
_symmetry_space_group_name_H-M 'P 4/m m m'
_symmetry_Int_Tables_number 123
_symmetry_space_group_name_Hall '-P 4 2'
loop_
_atom_site_label
_atom_site_type_symbol
_atom_site_fract_x
_atom_site_fract_y
_atom_site_fract_z
Sr1 Sr 0.000 0.000 0.000
Pd1 Pd 0.500 0.500 0.500
Ru1 Ru 0.000 0.500 0.500
C1 C 0.500 0.500 0.000
```



No. 6
Density functional theory data (PBE) for TcPd2RuC after structural relaxation.

Results
The value obtained for the electronic total energy is -5.22 eV per atom. For the density of states at the Fermi level, the calculation gives 1.2962 states/eV/atom.

Geometry as CIF:
```
data_TcPd2RuC
_cell_length_a 4.803
_cell_length_b 4.803
_cell_length_c 4.555
_cell_angle_alpha 90.00
_cell_angle_beta 90.00
_cell_angle_gamma 90.00
_symmetry_space_group_name_H-M 'P 4/m m m'
_symmetry_Int_Tables_number 123
_symmetry_space_group_name_Hall '-P 4 2'
loop_
_atom_site_label
_atom_site_type_symbol
_atom_site_fract_x
_atom_site_fract_y
_atom_site_fract_z
Tc1 Tc 0.000 0.000 0.000
Pd1 Pd 0.000 0.500 0.500
Ru1 Ru 0.000 0.000 0.500
C1 C 0.500 0.500 0.000
```